1.
Rb2NaAgSe2 after structural relaxation. Source: Alexandria via LeMat-Bulk, functional GGA-PBE.

Cell and atoms, written as POSCAR:
```
Rb2NaAgSe2
1.0
6.7677 0.0000 0.0000
0.0000 6.7640 0.0000
-3.3839 -3.3820 7.9532
Rb Na Ag Se
4 2 2 4
Direct
0.4282 0.1711 0.3422
0.5718 0.8289 0.6578
0.0860 0.3289 0.6578
0.9140 0.6711 0.3422
0.0000 0.7500 0.0000
0.0000 0.2500 0.0000
0.5000 0.7500 0.0000
0.5000 0.2500 0.0000
0.8423 0.1022 0.2044
0.3621 0.6022 0.2044
0.6379 0.3978 0.7956
0.1577 0.8978 0.7956
```

Computed properties:
For the uncorrected formation energy, the calculation gives -0.869 eV per atom.

2.
SrCr2Sb2 after structural relaxation. Source: Alexandria via LeMat-Bulk, functional GGA-PBE.

Cell and atoms, written as POSCAR:
```
SrCr2Sb2
1.0
5.0503 0.0000 0.0000
0.0000 5.0503 0.0000
2.5251 2.5251 4.3658
Sb Cr Sr
2 2 1
Direct
0.7500 0.2500 0.5000
0.2500 0.7500 0.5000
0.3944 0.3944 0.2112
0.6056 0.6056 0.7888
0.0000 0.0000 0.0000
```

Computed properties:
For the uncorrected formation energy, the calculation gives -0.058 eV per atom.

3.
LaGaCl after structural relaxation. Source: Alexandria via LeMat-Bulk, functional GGA-PBE.

Cell and atoms, written as POSCAR:
```
LaGaCl
1.0
4.7723 0.0000 0.0000
0.0000 3.4801 0.0000
-2.3861 -1.7401 9.9090
Cl Ga La
2 2 2
Direct
0.6916 0.1916 0.3832
0.3084 0.8084 0.6168
0.7487 0.5000 0.0000
0.2513 0.5000 0.0000
0.1493 0.6493 0.2985
0.8507 0.3507 0.7015
```

Computed properties:
For the uncorrected formation energy, the calculation gives -0.908 eV per atom.